! NaSrFe2I8, relaxed, DFT PBE; values from VASP
! - N(E_F): 8.4 states/eV per cell
! - Space group: P-3, No. 147
! - Uncorrected formation energy: -0.66 eV/atom
&SYSTEM
  ibrav = 0, nat = 12, ntyp = 4
/
ATOMIC_SPECIES
Na 22.99 Na.upf
Sr 87.62 Sr.upf
Fe 55.84 Fe.upf
I 126.90 I.upf
ATOMIC_POSITIONS crystal
Na 0.000 0.000 0.500
Sr 0.000 0.000 0.000
Fe 0.667 0.333 0.156
Fe 0.333 0.667 0.844
I 0.333 0.667 0.120
I 0.332 0.167 0.257
I 0.833 0.165 0.257
I 0.667 0.333 0.880
I 0.167 0.835 0.743
I 0.668 0.833 0.743
I 0.165 0.332 0.743
I 0.835 0.668 0.257
CELL_PARAMETERS angstrom
-6.977 2.250 4.289
-0.664 -4.820 -6.962
0.725 -7.438 5.081

! NaTlFe2I6, relaxed, DFT PBE; values from VASP
! - N(E_F): 21.6 states/eV per cell
! - Space group: C2/c, No. 15
! - Uncorrected formation energy: -0.42 eV/atom
&SYSTEM
  ibrav = 0, nat = 20, ntyp = 4
/
ATOMIC_SPECIES
Na 22.99 Na.upf
Tl 204.38 Tl.upf
Fe 55.84 Fe.upf
I 126.90 I.upf
ATOMIC_POSITIONS crystal
Na 0.598 0.402 0.250
Na 0.402 0.598 0.750
Tl 0.194 0.806 0.250
Tl 0.806 0.194 0.750
Fe 0.296 0.121 0.759
Fe 0.879 0.704 0.741
Fe 0.704 0.879 0.241
Fe 0.121 0.296 0.259
I 0.884 0.406 0.146
I 0.594 0.116 0.354
I 0.116 0.594 0.854
I 0.406 0.884 0.646
I 0.184 0.094 0.015
I 0.906 0.816 0.485
I 0.816 0.906 0.985
I 0.094 0.184 0.515
I 0.296 0.477 0.352
I 0.523 0.704 0.148
I 0.704 0.523 0.648
I 0.477 0.296 0.852
CELL_PARAMETERS angstrom
-7.151 -3.926 6.093
-5.149 -5.099 -7.153
6.355 -4.911 1.396